Entry 1:
Zn3Sn3Bi: optimized geometry, PBE. Values from VASP.

```
&SYSTEM
  ibrav = 0, nat = 14, ntyp = 3
/
ATOMIC_SPECIES
Bi 208.98 Bi.upf
Sn 118.71 Sn.upf
Zn 65.41 Zn.upf
ATOMIC_POSITIONS crystal
Bi 0.000 0.000 0.000
Bi 0.500 0.500 0.500
Sn 0.250 0.500 0.000
Sn 0.750 0.500 0.000
Sn 0.500 0.000 0.750
Sn 0.000 0.250 0.500
Sn 0.500 0.000 0.250
Sn 0.000 0.750 0.500
Zn 0.750 0.000 0.500
Zn 0.500 0.250 0.000
Zn 0.000 0.500 0.250
Zn 0.250 0.000 0.500
Zn 0.000 0.500 0.750
Zn 0.500 0.750 0.000
CELL_PARAMETERS angstrom
7.492 0.000 0.000
0.000 7.492 0.000
0.000 0.000 7.492
```

## Properties
DOS(E_F): 18.643 states/eV per cell
Energy of formation from the pure elements: 517 meV per atom



Entry 2:
Zn2SnBi2: optimized geometry, PBE. Values from VASP.

```
&SYSTEM
  ibrav = 0, nat = 5, ntyp = 3
/
ATOMIC_SPECIES
Bi 208.98 Bi.upf
Sn 118.71 Sn.upf
Zn 65.41 Zn.upf
ATOMIC_POSITIONS crystal
Bi 0.384 0.384 0.233
Bi 0.616 0.616 0.767
Sn 0.000 0.000 0.000
Zn 0.250 0.750 0.500
Zn 0.750 0.250 0.500
CELL_PARAMETERS angstrom
4.075 0.000 0.000
0.000 4.075 0.000
2.038 2.038 7.929
```

## Properties
DOS(E_F): 2.405 states/eV per cell
Polymorph energy (0 for the lowest one): 0 meV per atom
Energy of formation from the pure elements: 138 meV per atom



Entry 3:
Zn2SnBi2: optimized geometry, PBE. Values from VASP.

```
&SYSTEM
  ibrav = 0, nat = 10, ntyp = 3
/
ATOMIC_SPECIES
Zn 65.41 Zn.upf
Bi 208.98 Bi.upf
Sn 118.71 Sn.upf
ATOMIC_POSITIONS crystal
Zn 0.112 0.388 0.000
Zn 0.612 0.112 0.000
Zn 0.388 0.888 0.000
Zn 0.888 0.612 0.000
Bi 0.312 0.188 0.500
Bi 0.688 0.812 0.500
Bi 0.188 0.688 0.500
Bi 0.812 0.312 0.500
Sn 0.000 0.000 0.000
Sn 0.500 0.500 0.000
CELL_PARAMETERS angstrom
-3.701 -2.939 6.793
-5.970 -3.305 -4.682
1.946 -3.110 -0.285
```

## Properties
DOS(E_F): 4.470 states/eV per cell
Polymorph energy (0 for the lowest one): 15 meV per atom
Energy of formation from the pure elements: 153 meV per atom



Entry 4:
Zn5Sn12Bi3: optimized geometry, PBE. Values from VASP.

```
&SYSTEM
  ibrav = 0, nat = 80, ntyp = 3
/
ATOMIC_SPECIES
Zn 65.41 Zn.upf
Sn 118.71 Sn.upf
Bi 208.98 Bi.upf
ATOMIC_POSITIONS crystal
Zn 0.125 0.375 0.250
Zn 0.875 0.250 0.625
Zn 0.625 0.750 0.875
Zn 0.500 0.500 0.500
Zn 0.000 0.500 0.500
Zn 0.500 0.000 0.500
Zn 0.375 0.250 0.125
Zn 0.000 0.500 0.000
Zn 0.000 0.000 0.000
Zn 0.750 0.125 0.875
Zn 0.750 0.625 0.375
Zn 0.125 0.750 0.375
Zn 0.500 0.000 0.000
Zn 0.250 0.875 0.125
Zn 0.875 0.625 0.750
Zn 0.500 0.500 0.000
Zn 0.000 0.000 0.500
Zn 0.625 0.875 0.250
Zn 0.375 0.125 0.750
Zn 0.250 0.375 0.625
Sn 0.387 0.962 0.792
Sn 0.387 0.425 0.096
Sn 0.208 0.538 0.613
Sn 0.038 0.613 0.708
Sn 0.792 0.462 0.387
Sn 0.096 0.925 0.387
Sn 0.575 0.962 0.670
Sn 0.925 0.830 0.538
Sn 0.613 0.575 0.904
Sn 0.708 0.596 0.170
Sn 0.330 0.792 0.404
Sn 0.904 0.830 0.792
Sn 0.596 0.708 0.670
Sn 0.425 0.387 0.596
Sn 0.208 0.670 0.096
Sn 0.830 0.904 0.292
Sn 0.962 0.387 0.292
Sn 0.670 0.208 0.596
Sn 0.113 0.404 0.075
Sn 0.575 0.613 0.404
Sn 0.462 0.792 0.887
Sn 0.925 0.096 0.887
Sn 0.096 0.170 0.208
Sn 0.170 0.096 0.708
Sn 0.462 0.670 0.075
Sn 0.708 0.113 0.038
Sn 0.330 0.538 0.425
Sn 0.538 0.330 0.925
Sn 0.670 0.462 0.575
Sn 0.038 0.425 0.830
Sn 0.962 0.575 0.170
Sn 0.887 0.596 0.925
Sn 0.830 0.925 0.038
Sn 0.596 0.887 0.425
Sn 0.075 0.904 0.113
Sn 0.113 0.708 0.538
Sn 0.887 0.292 0.462
Sn 0.425 0.038 0.330
Sn 0.404 0.113 0.575
Sn 0.613 0.038 0.208
Sn 0.792 0.330 0.904
Sn 0.538 0.208 0.113
Sn 0.075 0.170 0.462
Sn 0.292 0.887 0.962
Sn 0.292 0.404 0.830
Sn 0.170 0.075 0.962
Sn 0.404 0.292 0.330
Sn 0.904 0.075 0.613
Bi 0.625 0.375 0.750
Bi 0.750 0.375 0.125
Bi 0.375 0.625 0.250
Bi 0.625 0.250 0.375
Bi 0.250 0.125 0.375
Bi 0.250 0.625 0.875
Bi 0.750 0.875 0.625
Bi 0.125 0.875 0.750
Bi 0.125 0.250 0.875
Bi 0.875 0.125 0.250
Bi 0.375 0.750 0.625
Bi 0.875 0.750 0.125
CELL_PARAMETERS angstrom
14.714 0.000 0.000
-4.905 13.872 0.000
-4.905 -6.936 12.014
```

## Properties
DOS(E_F): 46.053 states/eV per cell
Energy of formation from the pure elements: 241 meV per atom



Entry 5:
ZnSnBi2: optimized geometry, PBE. Values from VASP.

```
&SYSTEM
  ibrav = 0, nat = 4, ntyp = 3
/
ATOMIC_SPECIES
Sn 118.71 Sn.upf
Bi 208.98 Bi.upf
Zn 65.41 Zn.upf
ATOMIC_POSITIONS crystal
Sn 0.500 0.500 0.500
Bi 0.000 0.000 0.222
Bi 0.000 0.000 0.778
Zn 0.500 0.500 0.000
CELL_PARAMETERS angstrom
-0.538 -3.652 0.952
2.648 0.319 2.724
-5.286 2.056 4.899
```

## Properties
DOS(E_F): 2.248 states/eV per cell
Energy of formation from the pure elements: 157 meV per atom



Entry 6:
Zr2Sn2Bi: optimized geometry, PBE. Values from VASP.

```
&SYSTEM
  ibrav = 0, nat = 10, ntyp = 3
/
ATOMIC_SPECIES
Zr 91.22 Zr.upf
Sn 118.71 Sn.upf
Bi 208.98 Bi.upf
ATOMIC_POSITIONS crystal
Zr 0.849 0.651 0.000
Zr 0.651 0.151 0.000
Zr 0.349 0.849 0.000
Zr 0.151 0.349 0.000
Sn 0.649 0.851 0.500
Sn 0.351 0.149 0.500
Sn 0.851 0.351 0.500
Sn 0.149 0.649 0.500
Bi 0.000 0.000 0.000
Bi 0.500 0.500 0.000
CELL_PARAMETERS angstrom
7.788 0.000 0.000
0.000 7.788 0.000
0.000 0.000 4.115
```

## Properties
DOS(E_F): 9.846 states/eV per cell
Polymorph energy (0 for the lowest one): 0 meV per atom
Energy of formation from the pure elements: -294 meV per atom